DFT (PBE with a Hubbard U) results for crystalline Zr15VO32 at its relaxed geometry.

Unit cell a=5.2553 b=10.3913 c=10.7924 alpha=99.51 beta=90.16 gamma=90.25
Last column: nearest neighbours and their distance in Å.
Sites, in units of the cell vectors:
Zr: 0.5441 0.8627 0.1448  7 O 2.06-2.29
Zr: 0.9587 0.8649 0.3936  7 O 2.11-2.28
Zr: 0.5440 0.8632 0.6435  7 O 2.09-2.30
Zr: 0.9587 0.8612 0.8940  7 O 2.07-2.30
Zr: 0.0438 0.6385 0.1053  7 O 2.07-2.29
Zr: 0.4538 0.6360 0.3557  6 O 2.05-2.29
Zr: 0.0411 0.6367 0.6032  7 O 2.07-2.30
Zr: 0.4576 0.6374 0.8537  7 O 2.07-2.30
Zr: 0.5445 0.3602 0.1480  7 O 2.08-2.32
Zr: 0.9527 0.3544 0.3954  7 O 2.09-2.23
Zr: 0.5375 0.3592 0.6418  7 O 2.06-2.30
Zr: 0.9542 0.3624 0.8955  6 O 2.06-2.28
Zr: 0.0444 0.1388 0.1084  7 O 2.09-2.31
Zr: 0.0417 0.1413 0.6054  6 O 2.08-2.27
Zr: 0.4567 0.1382 0.8560  5 O 2.06-2.19
V: 0.4507 0.1277 0.3487  4 O 1.88-2.08
O: 0.8307 0.9664 0.0758  3 Zr 2.06-2.19
O: 0.6756 0.9799 0.3267  1 V 1.93, 1 Zr 2.11
O: 0.8337 0.9673 0.5718  3 Zr 2.09-2.14
O: 0.6775 0.9681 0.8236  3 Zr 2.07-2.18
O: 0.2594 0.7759 0.0118  4 Zr 2.16-2.30
O: 0.2455 0.7762 0.2618  4 Zr 2.18-2.29
O: 0.2545 0.7766 0.5101  4 Zr 2.18-2.29
O: 0.7588 0.7318 0.2398  4 Zr 2.15-2.35
O: 0.2436 0.7752 0.7604  4 Zr 2.17-2.30
O: 0.7424 0.7269 0.4868  4 Zr 2.17-2.30
O: 0.7561 0.7250 0.7368  4 Zr 2.18-2.29
O: 0.7447 0.7249 0.9877  4 Zr 2.18-2.29
O: 0.3268 0.5324 0.1751  3 Zr 2.07-2.17
O: 0.1689 0.5317 0.4240  3 Zr 2.05-2.17
O: 0.8259 0.4676 0.0762  3 Zr 2.08-2.18
O: 0.3265 0.5330 0.6735  3 Zr 2.07-2.17
O: 0.6746 0.4676 0.3256  3 Zr 2.08-2.16
O: 0.1704 0.5341 0.9249  3 Zr 2.07-2.17
O: 0.8247 0.4640 0.5745  3 Zr 2.06-2.18
O: 0.6698 0.4663 0.8250  3 Zr 2.06-2.21
O: 0.2551 0.2755 0.0150  4 Zr 2.17-2.32
O: 0.2539 0.2663 0.2679  1 V 2.08, 3 Zr 2.20-2.32
O: 0.2431 0.2779 0.5146  3 Zr 2.13-2.23
O: 0.7592 0.2236 0.2388  3 Zr 2.15-2.23, 1 V 2.33
O: 0.2424 0.2747 0.7640  4 Zr 2.18-2.30
O: 0.7238 0.2188 0.4838  1 V 2.15, 3 Zr 2.19-2.35
O: 0.7565 0.2254 0.7376  4 Zr 2.16-2.31
O: 0.7433 0.2244 0.9893  4 Zr 2.17-2.31
O: 0.3327 0.0346 0.1813  1 V 2.00, 2 Zr 2.09
O: 0.1896 0.0401 0.4203  1 V 1.88
O: 0.3267 0.0335 0.6740  3 Zr 2.08-2.19
O: 0.1796 0.0316 0.9283  3 Zr 2.06-2.20

Properties
final energy = -9.38 eV per atom